(1)
A plane-wave DFT calculation with SCAN was carried out for MgTi2NbW at its PBEsol-relaxed geometry.

Calculated total energy = -27.11 eV/atom
Calculated density = 5.9 Mg/m³
Symmetry = P4/mmm, No. 123
Formation energy = 0.8635 eV/atom
M_tot = 1.37 Bohr magnetons per cell

abc: 4.777 4.777 4.856
angles: 90.00 90.00 90.00
Last column: magnetic moment on the atom in μB.
Sites, in units of the cell vectors:
Nb1 0.000 0.000 0.500  0.22
Mg1 0.500 0.500 0.500  0.00
W1 0.000 0.000 0.000  -0.06
Ti1 0.000 0.500 0.000  0.42
Ti2 0.500 0.000 0.000  0.42

---

(2)
A plane-wave DFT calculation with SCAN was carried out for Mo2SBr2 at its PBEsol-relaxed geometry.

Calculated total energy = -24.44 eV/atom
Calculated density = 5.6 Mg/m³
Raw formation energy = -773.9 meV per atom
Symmetry = Cmcm, No. 63
M_tot = 0.00 Bohr magnetons per cell

abc: 6.569 9.408 11.818
angles: 90.00 90.00 110.43
Sites, in units of the cell vectors:
Mo1 0.742 0.000 0.939
Mo2 0.742 0.000 0.561
Mo3 0.258 0.000 0.439
Mo4 0.258 0.000 0.061
Mo5 0.159 0.150 0.897
Mo6 0.009 0.850 0.603
Mo7 0.841 0.850 0.397
Mo8 0.991 0.150 0.103
Mo9 0.841 0.850 0.103
Mo10 0.991 0.150 0.397
Mo11 0.159 0.150 0.603
Mo12 0.009 0.850 0.897
S1 0.382 0.000 0.631
S2 0.382 0.000 0.869
S3 0.618 0.000 0.131
S4 0.618 0.000 0.369
S5 0.908 0.000 0.750
S6 0.092 0.000 0.250
Br1 0.619 0.643 0.250
Br2 0.976 0.357 0.250
Br3 0.381 0.357 0.750
Br4 0.024 0.643 0.750
Br5 0.403 0.294 0.063
Br6 0.108 0.706 0.437
Br7 0.108 0.706 0.063
Br8 0.403 0.294 0.437
Br9 0.892 0.294 0.563
Br10 0.597 0.706 0.937
Br11 0.892 0.294 0.937
Br12 0.597 0.706 0.563

---

(3)
A plane-wave DFT calculation with SCAN was carried out for Ag2HgPt at its PBEsol-relaxed geometry.

Calculated total energy = -50.26 eV/atom
Calculated density = 15.1 Mg/m³
Symmetry = I-4m2, No. 119
Formation energy = 0.0096 eV/atom
M_tot = 0.00 Bohr magnetons per cell

abc: 4.101 4.101 4.944
angles: 114.50 114.50 90.00
Sites, in units of the cell vectors:
Pt1 0.750 0.250 0.500
Hg1 0.500 0.500 0.000
Ag1 0.000 0.000 0.000
Ag2 0.250 0.750 0.500

---

(4)
A plane-wave DFT calculation with SCAN was carried out for EuSnAu2 at its PBEsol-relaxed geometry.

Calculated total energy = -57.66 eV/atom
Calculated density = 12.8 Mg/m³
Symmetry = Fm-3m, No. 225
Formation energy = -0.6741 eV/atom
M_tot = 6.94 Bohr magnetons per cell

abc: 4.965 4.965 4.965
angles: 60.00 60.00 60.00
Last column: magnetic moment on the atom in μB.
Sites, in units of the cell vectors:
Eu1 0.500 0.500 0.500  6.76
Au1 0.750 0.750 0.750  -0.01
Au2 0.250 0.250 0.250  -0.01
Sn1 0.000 0.000 0.000  0.00

---

(5)
A plane-wave DFT calculation with SCAN was carried out for CdSiPt2 at its PBEsol-relaxed geometry.

Calculated total energy = -45.71 eV/atom
Calculated density = 14.3 Mg/m³
Raw formation energy = -509.5 meV per atom
Symmetry = P4/mmm, No. 123
M_tot = 0.00 Bohr magnetons per cell

abc: 2.967 2.967 6.993
angles: 90.00 90.00 90.00
Sites, in units of the cell vectors:
Cd1 0.500 0.500 0.500
Pt1 0.000 0.000 0.799
Pt2 0.000 0.000 0.201
Si1 0.500 0.500 0.000

---

(6)
A plane-wave DFT calculation with SCAN was carried out for Sc2AgP at its PBEsol-relaxed geometry.

Calculated total energy = -18.17 eV/atom
Excess energy over the best structure of this formula in the dataset = 221.0 meV per atom
Calculated density = 5.4 Mg/m³
Symmetry = I4/mmm, No. 139
Formation energy = -0.6133 eV/atom
M_tot = 0.84 Bohr magnetons per cell

abc: 4.395 4.776 4.395
angles: 62.61 90.00 117.39
Last column: magnetic moment on the atom in μB.
Sites, in units of the cell vectors:
Ag1 0.500 0.000 0.500  0.02
P1 0.000 0.000 0.000  -0.02
Sc1 0.250 0.500 0.250  0.30
Sc2 0.750 0.500 0.750  0.30

---

Q: Which value of calculated density does entry 6 give?
A: 5.4 Mg/m³

---

What did the fourth record say?
A plane-wave DFT calculation with SCAN was carried out for EuSnAu2 at its PBEsol-relaxed geometry.

Calculated total energy = -57.66 eV/atom
Calculated density = 12.8 Mg/m³
Symmetry = Fm-3m, No. 225
Formation energy = -0.6741 eV/atom
M_tot = 6.94 Bohr magnetons per cell

abc: 4.965 4.965 4.965
angles: 60.00 60.00 60.00
Last column: magnetic moment on the atom in μB.
Sites, in units of the cell vectors:
Eu1 0.500 0.500 0.500  6.76
Au1 0.750 0.750 0.750  -0.01
Au2 0.250 0.250 0.250  -0.01
Sn1 0.000 0.000 0.000  0.00